No. 1
TeSeCl2 | PBE-GGA | optimized geometry

Offset from the most stable computed form   81.43 kJ per mole of atoms
Formation energy (no corrections)   51.3 kJ/mol of atoms
Space group   No. 225
Total DFT energy (no corrections)   -2.048 eV per atom

a = 5.0280 Å, b = 5.0280 Å, c = 5.0280 Å
α = 60.00°, β = 60.00°, γ = 60.00°
With the nearest neighbours (Å) after each atom.
Fractional positions:
Te: 0.5000 0.5000 0.5000  8 Cl 3.08
Se: 0.0000 0.0000 0.0000  8 Cl 3.08
Cl: 0.2500 0.2500 0.2500  4 Te 3.08, 4 Se 3.08
Cl: 0.7500 0.7500 0.7500  4 Se 3.08, 4 Te 3.08


No. 2
TeSeCl2 | PBE-GGA | optimized geometry

Offset from the most stable computed form   39.81 kJ per mole of atoms
Formation energy (no corrections)   9.7 kJ/mol of atoms
Space group   No. 166
Total DFT energy (no corrections)   -2.480 eV per atom

a = 12.4331 Å, b = 12.4331 Å, c = 12.4331 Å
α = 15.18°, β = 15.18°, γ = 15.18°
With the nearest neighbours (Å) after each atom.
Fractional positions:
Te: 0.5000 0.5000 0.5000  6 Te 3.28
Se: 0.0000 0.0000 0.0000  2 Cl 2.28
Cl: 0.9381 0.9381 0.9381  1 Se 2.28
Cl: 0.0619 0.0619 0.0619  1 Se 2.28


Among the records above, which one has the highest formation energy (no corrections)?
number 1


Which of these has the lowest offset from the most stable computed form?
number 2


Among the records above, which one has the lowest offset from the most stable computed form?
number 2


Among the records above, which one has the lowest total DFT energy (no corrections)?
number 2